## a
PBE PrYHoMg, optimized geometry; M_tot = 0.00 μB/cell; space group = F-43m (216)
1.0
7.887 0.000 0.000
0.000 7.887 0.000
0.000 0.000 7.887
Pr Y Ho Mg
4 4 4 4
Direct
0.000 0.000 0.000 Pr
0.000 0.500 0.500 Pr
0.500 0.000 0.500 Pr
0.500 0.500 0.000 Pr
0.000 0.000 0.500 Y
0.000 0.500 0.000 Y
0.500 0.000 0.000 Y
0.500 0.500 0.500 Y
0.250 0.250 0.250 Ho
0.250 0.750 0.750 Ho
0.750 0.250 0.750 Ho
0.750 0.750 0.250 Ho
0.250 0.250 0.750 Mg
0.250 0.750 0.250 Mg
0.750 0.250 0.250 Mg
0.750 0.750 0.750 Mg

---

## b
PBE PrYHoMg, optimized geometry; M_tot = 0.00 μB/cell; space group = P4mm (99)
1.0
3.691 0.000 0.000
0.000 3.691 0.000
0.000 0.000 9.010
Pr Y Ho Mg
1 1 1 1
Direct
0.000 0.000 0.000 Pr
0.500 0.500 0.717 Y
0.500 0.500 0.276 Ho
0.000 0.000 0.496 Mg

---

Short version: b is the most stable of them.

---

## a
PBE HoPuMg2, optimized geometry; M_tot = 26.02 μB/cell; space group = Fm-3m (225)
1.0
7.556 0.000 0.000
0.000 7.556 0.000
0.000 0.000 7.556
Ho Pu Mg
4 4 8
Direct
0.000 0.000 0.000 Ho
0.000 0.500 0.500 Ho
0.500 0.000 0.500 Ho
0.500 0.500 0.000 Ho
0.000 0.000 0.500 Pu
0.000 0.500 0.000 Pu
0.500 0.000 0.000 Pu
0.500 0.500 0.500 Pu
0.250 0.250 0.250 Mg
0.250 0.250 0.750 Mg
0.250 0.750 0.250 Mg
0.250 0.750 0.750 Mg
0.750 0.250 0.250 Mg
0.750 0.250 0.750 Mg
0.750 0.750 0.250 Mg
0.750 0.750 0.750 Mg

---

## b
PBE HoPuMg2, optimized geometry; M_tot = 17.78 μB/cell; space group = R-3m (166)
1.0
3.207 0.000 0.000
-1.604 2.778 0.000
0.000 0.000 36.826
Ho Pu Mg
3 3 6
Direct
0.000 0.000 0.000 Ho
0.333 0.667 0.667 Ho
0.667 0.333 0.333 Ho
0.000 0.000 0.500 Pu
0.333 0.667 0.167 Pu
0.667 0.333 0.833 Pu
0.000 0.000 0.088 Mg
0.000 0.000 0.912 Mg
0.333 0.667 0.578 Mg
0.333 0.667 0.755 Mg
0.667 0.333 0.245 Mg
0.667 0.333 0.422 Mg

---

## c
PBE HoPuMg2, optimized geometry; M_tot = 6.35 μB/cell; space group = P4/mmm (123)
1.0
4.668 0.000 0.000
0.000 4.668 0.000
0.000 0.000 4.885
Ho Pu Mg
1 1 2
Direct
0.000 0.000 0.000 Ho
0.500 0.500 0.000 Pu
0.000 0.500 0.500 Mg
0.500 0.000 0.500 Mg

---

Short version: a is the most stable of them.

---

## a
PBE Ho4MgRh, optimized geometry; M_tot = 0.00 μB/cell; space group = P4/mmm (123)
1.0
4.784 0.000 0.000
0.000 4.784 0.000
0.000 0.000 7.949
Ho Mg Rh
4 1 1
Direct
0.000 0.500 0.206 Ho
0.000 0.500 0.794 Ho
0.500 0.000 0.206 Ho
0.500 0.000 0.794 Ho
0.000 0.000 0.500 Mg
0.500 0.500 0.000 Rh

---

## b
PBE Ho4MgRh, optimized geometry; M_tot = 0.00 μB/cell; space group = F-43m (216)
1.0
0.000 6.823 6.823
6.823 0.000 6.823
6.823 6.823 0.000
Ho Mg Rh
16 4 4
Direct
0.062 0.062 0.438 Ho
0.062 0.438 0.062 Ho
0.062 0.438 0.438 Ho
0.185 0.185 0.815 Ho
0.185 0.815 0.185 Ho
0.185 0.815 0.815 Ho
0.208 0.597 0.597 Ho
0.438 0.062 0.062 Ho
0.438 0.062 0.438 Ho
0.438 0.438 0.062 Ho
0.597 0.208 0.597 Ho
0.597 0.597 0.208 Ho
0.597 0.597 0.597 Ho
0.815 0.185 0.185 Ho
0.815 0.185 0.815 Ho
0.815 0.815 0.185 Ho
0.511 0.830 0.830 Mg
0.830 0.511 0.830 Mg
0.830 0.830 0.511 Mg
0.830 0.830 0.830 Mg
0.392 0.392 0.392 Rh
0.392 0.392 0.824 Rh
0.392 0.824 0.392 Rh
0.824 0.392 0.392 Rh

---

Short version: b is the most stable of them.